(1)
A geometry-optimized MoRu3 structure, computed with PBEsol.

Properties
Relative energy among the computed polymorphs (meV/atom): 33.6
M_tot (μB per cell): 0.00
Theoretical density (g/cm3): 12.0
E (Ry/atom): -0.7786

Lattice parameters (Å, degrees): 2.7303 4.2995 4.6886 90.00 90.00 90.00
Last column: nearest neighbours and their distance in Å.
Space group Pmm2 (No. 25)
Unique sites:
Mo: 0.0000 0.0000 0.0000 (multiplicity 1)  10 Ru 2.67-2.75, 2 Mo 2.73
Ru: 0.0000 0.5000 0.3369 (multiplicity 1)  10 Ru 2.65-2.73, 2 Mo 2.67
Ru: 0.5000 0.0000 0.4919 (multiplicity 1)  8 Ru 2.65-2.73, 4 Mo 2.68-2.75
Ru: 0.5000 0.5000 0.8315 (multiplicity 1)  4 Mo 2.67, 8 Ru 2.67-2.73

---

(2)
A geometry-optimized Fe3C structure, computed with PBEsol.

Properties
M_tot (μB per cell): 3.24
Theoretical density (g/cm3): 8.5
E (Ry/atom): -0.6181

Lattice parameters (Å, degrees): 3.2011 3.2011 6.8438 90.00 90.00 90.00
Last column: nearest neighbours and their distance in Å.
Space group I4/mmm (No. 139)
Unique sites:
Fe: 0.0000 0.0000 0.0000 (multiplicity 2)  4 C 2.26, 8 Fe 2.34
Fe: 0.0000 0.5000 0.2500 (multiplicity 4)  8 Fe 2.26-2.34, 4 C 2.34
C: 0.0000 0.0000 0.5000 (multiplicity 2)  12 Fe 2.26-2.34

---

(3)
A geometry-optimized CaTi2O4 structure, computed with PBEsol.

Properties
Formation energy without anion corrections (eV per atom): -2.975
Relative energy among the computed polymorphs (meV/atom): 49.1
M_tot (μB per cell): 3.07
Theoretical density (g/cm3): 4.5
E (Ry/atom): -0.6363

Lattice parameters (Å, degrees): 9.2852 2.9356 10.8294 90.00 90.00 90.00
Last column: nearest neighbours and their distance in Å.
Space group Pnma (No. 62)
Unique sites:
Ca: 0.2390 0.2500 0.1612 (multiplicity 4)  8 O 2.34-2.58
Ti: 0.0608 0.2500 0.3926 (multiplicity 4)  6 O 2.00-2.09
Ti: 0.0839 0.2500 0.8985 (multiplicity 4)  6 O 2.03-2.06
O: 0.0214 0.7500 0.7809 (multiplicity 4)  3 Ti 2.03
O: 0.0920 0.2500 0.5752 (multiplicity 4)  3 Ti 2.00-2.07
O: 0.1181 0.7500 0.0287 (multiplicity 4)  3 Ti 2.04-2.06
O: 0.2091 0.7500 0.3393 (multiplicity 4)  3 Ti 2.03-2.09

---

(4)
A geometry-optimized Ni6Ge2P structure, computed with PBEsol.

Properties
M_tot (μB per cell): 0.00
Theoretical density (g/cm3): 8.6
E (Ry/atom): -0.4638

Lattice parameters (Å, degrees): 6.1297 6.1297 3.1256 90.00 90.00 120.00
Last column: nearest neighbours and their distance in Å.
Space group P-62m (No. 189)
Unique sites:
Ni: 0.0000 0.2543 0.0000 (multiplicity 3)  2 P 2.21, 2 Ge 2.32
Ni: 0.0000 0.6168 0.5000 (multiplicity 3)  1 P 2.35, 4 Ge 2.47, 4 Ni 2.59
Ge: 0.3333 0.6667 0.0000 (multiplicity 2)  9 Ni 2.32-2.47
P: 0.0000 0.0000 0.5000 (multiplicity 1)  9 Ni 2.21-2.35

---

(5)
A geometry-optimized LaBe2Zn structure, computed with PBEsol.

Properties
Relative energy among the computed polymorphs (meV/atom): 42.4
M_tot (μB per cell): 0.00
Theoretical density (g/cm3): 5.3
E (Ry/atom): -0.2586

Lattice parameters (Å, degrees): 4.2061 4.9979 6.6266 90.00 90.00 90.00
Last column: nearest neighbours and their distance in Å.
Space group Imm2 (No. 44)
Unique sites:
La: 0.0000 0.0000 0.0000 (multiplicity 2)  5 Be 2.82-3.13, 4 Zn 2.82-2.90
Be: 0.0000 0.0000 0.5273 (multiplicity 2)  2 Be 2.38, 2 Zn 2.58
Be: 0.0000 0.5000 0.1956 (multiplicity 2)  2 Be 2.38, 1 Zn 2.61
Zn: 0.0000 0.5000 0.8017 (multiplicity 2)  3 Be 2.58-2.61, 2 La 2.82

---

(6)
A geometry-optimized CoRuW2 structure, computed with PBEsol.

Properties
Relative energy among the computed polymorphs (meV/atom): 3.1
M_tot (μB per cell): 0.00
Theoretical density (g/cm3): 16.0
E (Ry/atom): -0.8334

Lattice parameters (Å, degrees): 3.8303 3.8303 7.4445 90.00 90.00 90.00
Last column: nearest neighbours and their distance in Å.
Space group I4/mmm (No. 139)
Unique sites:
Co: 0.0000 0.0000 0.0000 (multiplicity 2)  8 W 2.67, 4 Ru 2.71
Ru: 0.0000 0.0000 0.5000 (multiplicity 2)  8 W 2.67, 4 Co 2.71
W: 0.0000 0.5000 0.2500 (multiplicity 4)  4 Co 2.67, 4 Ru 2.67, 4 W 2.71

---

(7)
A geometry-optimized Re4TePb structure, computed with PBEsol.

Properties
Formation energy without anion corrections (eV per atom): 0.972
M_tot (μB per cell): 0.00
Theoretical density (g/cm3): 16.7
E (Ry/atom): -0.6740

Lattice parameters (Å, degrees): 7.5476 7.5476 7.5476 90.00 90.00 90.00
Last column: nearest neighbours and their distance in Å.
Space group F-43m (No. 216)
Unique sites:
Re: 0.1243 0.1243 0.3757 (multiplicity 16)  6 Re 2.65-2.68
Te: 0.2500 0.2500 0.7500 (multiplicity 4)  12 Re 3.13, 4 Pb 3.27
Pb: 0.0000 0.0000 0.0000 (multiplicity 4)  12 Re 3.13, 4 Te 3.27

---

(8)
A geometry-optimized K2TaAgS4 structure, computed with PBEsol.

Properties
Formation energy without anion corrections (eV per atom): -1.017
M_tot (μB per cell): 0.00
Theoretical density (g/cm3): 3.9
E (Ry/atom): -0.4024

Lattice parameters (Å, degrees): 5.8334 13.0467 22.4474 90.00 90.00 90.00
Last column: nearest neighbours and their distance in Å.
Space group Fddd (No. 70, origin choice 2)
Unique sites:
K: 0.1250 0.1250 0.3058 (multiplicity 16)  8 S 3.31-3.65
Ta: 0.1250 0.1250 0.1250 (multiplicity 8)  4 S 2.29
Ag: 0.1250 0.1250 0.6250 (multiplicity 8)  4 S 2.51
S: 0.0929 0.2705 0.4339 (multiplicity 32)  1 Ta 2.29, 1 Ag 2.51

---

> The highest M_tot belongs to which entry?

Fe3C